(1)
Entry from the Alexandria database: BeSbRu2 after structural relaxation (PBE).

## Properties
As for the space-group type: No. 122.

POSCAR file:
```
BeSbRu2
1.0
-2.026 2.026 8.141
2.026 -2.026 8.141
2.026 2.026 -8.141
Be Sb Ru
2 2 4
direct
0.000 0.000 0.000
0.750 0.250 0.500
0.250 0.750 0.500
0.500 0.500 0.000
0.050 0.625 0.925
0.375 0.300 0.425
0.700 0.125 0.075
0.875 0.950 0.575
```

=====

(2)
Entry from the Alexandria database: BeSbRu2 after structural relaxation (PBE).

## Properties
As for the space-group type: No. 12.

POSCAR file:
```
BeSbRu2
1.0
4.180 -1.535 0.000
4.180 1.535 0.000
-1.783 0.000 4.486
Be Sb Ru
1 1 2
direct
0.000 0.000 0.000
0.500 0.500 0.500
0.284 0.284 0.788
0.716 0.716 0.212
```

=====

(3)
Entry from the Alexandria database: BeSbRu2 after structural relaxation (PBE).

## Properties
As for the space-group type: No. 99.

POSCAR file:
```
BeSbRu2
1.0
2.943 0.000 0.000
0.000 2.943 0.000
0.000 0.000 8.439
Be Sb Ru
1 1 2
direct
0.000 0.000 0.000
0.500 0.500 0.550
0.000 0.000 0.332
0.500 0.500 0.125
```

=====

(4)
Entry from the Alexandria database: BeSbRu2 after structural relaxation (PBE).

## Properties
As for the space-group type: No. 8.

POSCAR file:
```
BeSbRu2
1.0
4.570 -1.518 0.000
4.570 1.518 0.000
-1.433 0.000 4.206
Be Sb Ru
1 1 2
direct
0.000 0.000 0.000
0.762 0.762 0.397
0.269 0.269 0.921
0.514 0.514 0.548
```

=====

(5)
Entry from the Alexandria database: BeSbRu2 after structural relaxation (PBE).

## Properties
As for the space-group type: No. 12.

POSCAR file:
```
BeSbRu2
1.0
2.868 -4.081 0.000
2.868 4.081 0.000
-1.392 0.000 2.598
Be Sb Ru
1 1 2
direct
0.000 0.000 0.000
0.500 0.500 0.000
0.000 0.500 0.500
0.500 0.000 0.500
```

=====

(6)
Entry from the Alexandria database: BeSbRu after structural relaxation (PBE).

## Properties
As for the space-group type: No. 216.

POSCAR file:
```
BeSbRu
1.0
0.000 2.962 2.962
2.962 0.000 2.962
2.962 2.962 0.000
Be Sb Ru
1 1 1
direct
0.000 0.000 0.000
0.500 0.500 0.500
0.250 0.250 0.250
```

=====

(7)
Entry from the Alexandria database: BeSbRu2 after structural relaxation (PBE).

## Properties
As for the space-group type: No. 216.

POSCAR file:
```
BeSbRu2
1.0
0.000 3.091 3.091
3.091 0.000 3.091
3.091 3.091 0.000
Be Sb Ru
1 1 2
direct
0.000 0.000 0.000
0.250 0.250 0.250
0.500 0.500 0.500
0.750 0.750 0.750
```

=====

(8)
Entry from the Alexandria database: BeSbRu2 after structural relaxation (PBE).

## Properties
As for the space-group type: No. 119.

POSCAR file:
```
BeSbRu2
1.0
-1.877 1.877 4.135
1.877 -1.877 4.135
1.877 1.877 -4.135
Be Sb Ru
1 1 2
direct
0.000 0.000 0.000
0.750 0.250 0.500
0.250 0.750 0.500
0.500 0.500 0.000
```

=====

(9)
Entry from the Alexandria database: Be2SbRu2 after structural relaxation (PBE).

## Properties
As for the space-group type: No. 127.

POSCAR file:
```
Be2SbRu2
1.0
6.414 0.000 0.000
0.000 6.414 0.000
0.000 0.000 3.083
Be Sb Ru
4 2 4
direct
0.117 0.383 0.000
0.383 0.883 0.000
0.617 0.117 0.000
0.883 0.617 0.000
0.000 0.000 0.000
0.500 0.500 0.000
0.168 0.668 0.500
0.332 0.168 0.500
0.668 0.832 0.500
0.832 0.332 0.500
```

=====

(10)
Entry from the Alexandria database: BeSbRu2 after structural relaxation (PBE).

## Properties
As for the space-group type: No. 99.

POSCAR file:
```
BeSbRu2
1.0
3.135 0.000 0.000
0.000 3.135 0.000
0.000 0.000 6.002
Be Sb Ru
1 1 2
direct
0.000 0.000 0.000
0.500 0.500 0.665
0.000 0.000 0.417
0.500 0.500 0.102
```

=====

(11)
Entry from the Alexandria database: Be3SbRu after structural relaxation (PBE).

## Properties
As for the space-group type: No. 221.

POSCAR file:
```
Be3SbRu
1.0
4.259 0.000 0.000
0.000 4.259 0.000
0.000 0.000 4.259
Be Sb Ru
3 1 1
direct
0.000 0.000 0.500
0.000 0.500 0.000
0.500 0.000 0.000
0.500 0.500 0.500
0.000 0.000 0.000
```

=====

(12)
Entry from the Alexandria database: Be2SbRu2 after structural relaxation (PBE).

## Properties
As for the space-group type: No. 127.

POSCAR file:
```
Be2SbRu2
1.0
6.679 0.000 0.000
0.000 6.679 0.000
0.000 0.000 3.070
Be Sb Ru
4 2 4
direct
0.127 0.373 0.000
0.373 0.873 0.000
0.627 0.127 0.000
0.873 0.627 0.000
0.000 0.000 0.500
0.500 0.500 0.500
0.153 0.653 0.500
0.347 0.153 0.500
0.653 0.847 0.500
0.847 0.347 0.500
```

=====

(13)
Entry from the Alexandria database: BeSb2Ru2 after structural relaxation (PBE).

## Properties
As for the space-group type: No. 139.

POSCAR file:
```
BeSb2Ru2
1.0
-2.090 2.090 5.714
2.090 -2.090 5.714
2.090 2.090 -5.714
Be Sb Ru
1 2 2
direct
0.000 0.000 0.000
0.250 0.750 0.500
0.750 0.250 0.500
0.389 0.389 0.000
0.611 0.611 0.000
```

=====

(14)
Entry from the Alexandria database: BeSbRu2 after structural relaxation (PBE).

## Properties
As for the space-group type: No. 166.

POSCAR file:
```
BeSbRu2
1.0
1.597 0.922 6.660
-1.597 0.922 6.660
0.000 -1.844 6.660
Be Sb Ru
1 1 2
direct
0.000 0.000 0.000
0.500 0.500 0.500
0.268 0.268 0.268
0.732 0.732 0.732
```

=====

(15)
Entry from the Alexandria database: BeSbRu2 after structural relaxation (PBE).

## Properties
As for the space-group type: No. 25.

POSCAR file:
```
BeSbRu2
1.0
3.038 0.000 0.000
0.000 4.373 0.000
0.000 0.000 4.479
Be Sb Ru
1 1 2
direct
0.000 0.000 0.000
0.500 0.500 0.243
0.000 0.500 0.768
0.500 0.000 0.573
```

=====

(16)
Entry from the Alexandria database: BeSbRu2 after structural relaxation (PBE).

## Properties
As for the space-group type: No. 10.

POSCAR file:
```
BeSbRu2
1.0
2.999 0.000 0.000
0.000 3.639 0.000
-1.166 0.000 5.281
Be Sb Ru
1 1 2
direct
0.000 0.000 0.000
0.000 0.000 0.500
0.359 0.500 0.223
0.641 0.500 0.777
```

=====

(17)
Entry from the Alexandria database: BeSbRu after structural relaxation (PBE).

## Properties
As for the space-group type: No. 187.

POSCAR file:
```
BeSbRu
1.0
3.953 0.000 0.000
-1.977 3.424 0.000
0.000 0.000 3.421
Be Sb Ru
1 1 1
direct
0.000 0.000 0.000
0.333 0.667 0.500
0.667 0.333 0.000
```

=====

(18)
Entry from the Alexandria database: BeSb2TeRu after structural relaxation (PBE).

## Properties
As for the space-group type: No. 123.

POSCAR file:
```
BeSb2TeRu
1.0
4.704 0.000 0.000
0.000 4.704 0.000
0.000 0.000 4.932
Be Sb Te Ru
1 2 1 1
direct
0.000 0.000 0.000
0.000 0.500 0.000
0.500 0.000 0.000
0.000 0.000 0.500
0.500 0.500 0.500
```

=====

(19)
Entry from the Alexandria database: BeSb2TeRu after structural relaxation (PBE).

## Properties
As for the space-group type: No. 123.

POSCAR file:
```
BeSb2TeRu
1.0
4.958 0.000 0.000
0.000 4.958 0.000
0.000 0.000 5.710
Be Sb Te Ru
1 2 1 1
direct
0.000 0.000 0.000
0.000 0.500 0.500
0.500 0.000 0.500
0.500 0.500 0.000
0.500 0.500 0.500
```

=====

(20)
Entry from the Alexandria database: BeSbTe2Ru after structural relaxation (PBE).

## Properties
As for the space-group type: No. 123.

POSCAR file:
```
BeSbTe2Ru
1.0
5.315 0.000 0.000
0.000 5.315 0.000
0.000 0.000 4.963
Be Sb Te Ru
1 1 2 1
direct
0.000 0.000 0.000
0.500 0.500 0.000
0.000 0.500 0.500
0.500 0.000 0.500
0.500 0.500 0.500
```

=====

Total energy values, unit eV per atom, following the record order: -6.232 -6.564 -6.374 -6.538 -6.288 -5.580 -6.221 -6.403 -6.108 -6.555 -4.339 -6.009 -5.427 -6.472 -6.469 -6.545 -5.564 -3.938 -4.013 -3.765.
Calculated density values, unit g cm⁻³, following the record order: 8.3 9.6 7.6 9.5 9.1 7.4 9.4 9.5 9.0 9.4 5.4 8.3 7.6 9.4 9.3 9.6 8.3 7.3 5.7 5.8.